Density functional theory data (PBE) for Rb2AlPtI6 after structural relaxation.

The space group is I4/mmm (No. 139) and the conventional cell measures 8.096, 8.096 and 11.584 Å, with angles of 90.00, 90.00 and 90.00 degrees. The distinct sites, in fractional coordinates, are Rb at (0.000, 0.500, 0.250), Al at (0.000, 0.000, 0.000), Pt at (0.000, 0.000, 0.500), I at (0.000, 0.000, 0.241) and I at (0.242, 0.242, 0.500).

The formation energy without anion corrections is -0.701 eV per atom. Its total DFT energy (no corrections) is -2.80 eV/atom. The calculation puts the total moment at 0.00 μB per formula unit. As for the volume: 37.96 Å³/atom. The density of states at the Fermi level comes out at 10.2 states/eV/cell.

Density functional theory data (PBE) for AlSbPtI2 after structural relaxation.

The space group is P4/mmm (No. 123) and the conventional cell measures 5.262, 5.262 and 5.538 Å, with angles of 90.00, 90.00 and 90.00 degrees. The distinct sites, in fractional coordinates, are Al at (0.000, 0.000, 0.000), Sb at (0.000, 0.000, 0.500), Pt at (0.500, 0.500, 0.500) and I at (0.000, 0.500, 0.000).

The formation energy without anion corrections is 0.798 eV per atom. Its total DFT energy (no corrections) is -2.60 eV/atom. The value obtained for the distance to the lowest polymorph of the same formula is 0.478 eV/atom. The calculation puts the total moment at 0.59 μB per formula unit. As for the volume: 30.67 Å³/atom. The density of states at the Fermi level comes out at 5.6 states/eV/cell.